No. 1
Below is CoHgTe2I at its PBEsol-relaxed geometry, with properties calculated at the meta-GGA SCAN level.

Summary:
DOS at the Fermi energy: 1.153 states/eV/atom
spin magnetization: 0.578 μB/atom
space-group type: P4/mmm
calculated total energy: -194.87 eV for the cell shown
ΔE_f (raw): 0.369 eV/atom

Lattice parameters (Å, degrees): 4.944 4.944 5.376 90.00 90.00 90.00
Positions (direct):
Co (0.000, 0.000, 0.000)
Hg (0.500, 0.500, 0.500)
Te (0.000, 0.500, 0.000)
Te (0.500, 0.000, 0.000)
I (0.000, 0.000, 0.500)



No. 2
Below is Al2CdHg at its PBEsol-relaxed geometry, with properties calculated at the meta-GGA SCAN level.

Summary:
DOS at the Fermi energy: 0.334 states/eV/atom
spin magnetization: 0.002 μB/atom
space-group type: F-43m
calculated total energy: -113.14 eV for the cell shown
calculated formation energy: 0.236 eV per atom

Lattice parameters (Å, degrees): 4.831 4.831 4.831 60.00 60.00 60.00
Positions (direct):
Al (0.000, 0.000, 0.000)
Al (0.250, 0.250, 0.250)
Cd (0.500, 0.500, 0.500)
Hg (0.750, 0.750, 0.750)



No. 3
Below is SrHgPt at its PBEsol-relaxed geometry, with properties calculated at the meta-GGA SCAN level.

Summary:
DOS at the Fermi energy: 0.287 states/eV/atom
spin magnetization: 0.000 μB/atom
space-group type: P-6m2
calculated total energy: -162.78 eV for the cell shown
calculated formation energy: -0.714 eV per atom

Lattice parameters (Å, degrees): 4.675 4.675 3.966 90.00 90.00 120.00
Positions (direct):
Sr (0.000, 0.000, 0.000)
Hg (0.333, 0.667, 0.500)
Pt (0.667, 0.333, 0.500)



No. 4
Below is BeNi3Ag at its PBEsol-relaxed geometry, with properties calculated at the meta-GGA SCAN level.

Summary:
DOS at the Fermi energy: 0.604 states/eV/atom
spin magnetization: 0.605 μB/atom
space-group type: Pm-3m
calculated total energy: -75.33 eV for the cell shown
calculated formation energy: 1.781 eV per atom

Lattice parameters (Å, degrees): 4.488 4.488 4.488 90.00 90.00 90.00
Positions (direct):
Be (0.000, 0.000, 0.000)
Ni (0.000, 0.500, 0.500)
Ni (0.500, 0.000, 0.500)
Ni (0.500, 0.500, 0.000)
Ag (0.500, 0.500, 0.500)



No. 5
Below is CrTc2Pt at its PBEsol-relaxed geometry, with properties calculated at the meta-GGA SCAN level.

Summary:
DOS at the Fermi energy: 0.891 states/eV/atom
spin magnetization: 0.368 μB/atom
space-group type: Cm
calculated total energy: -159.04 eV for the cell shown
calculated formation energy: -0.087 eV per atom

Lattice parameters (Å, degrees): 4.640 4.640 4.663 99.89 99.89 33.35
Positions (direct):
Cr (0.000, 0.000, 0.000)
Tc (0.496, 0.496, 0.479)
Tc (0.742, 0.742, 0.243)
Pt (0.250, 0.250, 0.752)



No. 6
Below is Mg2InCo at its PBEsol-relaxed geometry, with properties calculated at the meta-GGA SCAN level.

Summary:
DOS at the Fermi energy: 0.303 states/eV/atom
spin magnetization: 0.427 μB/atom
space-group type: Pm
calculated total energy: -60.48 eV for the cell shown
calculated formation energy: 0.039 eV per atom

Lattice parameters (Å, degrees): 3.045 4.346 5.654 90.00 105.76 90.00
Positions (direct):
Mg (0.000, 0.000, 0.000)
Mg (0.346, 0.500, 0.689)
In (0.725, 0.000, 0.448)
Co (0.595, 0.500, 0.189)



Repeat the third record exactly.
Below is SrHgPt at its PBEsol-relaxed geometry, with properties calculated at the meta-GGA SCAN level.

Summary:
DOS at the Fermi energy: 0.287 states/eV/atom
spin magnetization: 0.000 μB/atom
space-group type: P-6m2
calculated total energy: -162.78 eV for the cell shown
calculated formation energy: -0.714 eV per atom

Lattice parameters (Å, degrees): 4.675 4.675 3.966 90.00 90.00 120.00
Positions (direct):
Sr (0.000, 0.000, 0.000)
Hg (0.333, 0.667, 0.500)
Pt (0.667, 0.333, 0.500)



- Look up the spin magnetization of the fifth one.
  0.368 μB/atom